(1)
Computed, not measured: a geometry-optimized YPuAlSn structure at the GGA-PBE level of DFT.

Cell and atoms, written as CIF:
```
data_YPuAlSn
_cell_length_a 7.3879
_cell_length_b 7.3879
_cell_length_c 7.3879
_cell_angle_alpha 90.00
_cell_angle_beta 90.00
_cell_angle_gamma 90.00
_space_group_name_H-M_alt 'F -4 3 m'
_space_group_IT_number 216
_space_group_name_Hall 'F -4 2 3'
loop_
_atom_site_label
_atom_site_fract_x
_atom_site_fract_y
_atom_site_fract_z
Y1 0.0000 0.0000 0.0000
Pu1 0.0000 0.0000 0.5000
Al1 0.2500 0.2500 0.7500
Sn1 0.2500 0.2500 0.2500
```

Computed properties:
The calculation puts the formation energy at -0.323 eV/atom. The density of states at the Fermi level is 36.76 states/eV/cell.

---

(2)
Computed, not measured: a geometry-optimized PaTe2As structure at the GGA-PBE level of DFT.

Cell and atoms, written as CIF:
```
data_PaTe2As
_cell_length_a 5.5073
_cell_length_b 5.5073
_cell_length_c 11.8822
_cell_angle_alpha 90.00
_cell_angle_beta 90.00
_cell_angle_gamma 120.00
_space_group_name_H-M_alt 'R -3 m'
_space_group_IT_number 166
_space_group_name_Hall '-R 3 2"'
loop_
_atom_site_label
_atom_site_fract_x
_atom_site_fract_y
_atom_site_fract_z
Pa1 0.0000 0.0000 0.0000
Te1 0.0000 0.0000 0.2680
As1 0.0000 0.0000 0.5000
```

Computed properties:
The energy relative to the elements, uncorrected is -246 meV/atom. The density of states at the Fermi level is 8.87 states/eV/cell.

---

(3)
Computed, not measured: a geometry-optimized Tb2Zn2Ni5Sn structure at the GGA-PBE level of DFT.

Cell and atoms, written as CIF:
```
data_Tb2Zn2Ni5Sn
_cell_length_a 9.3562
_cell_length_b 9.3562
_cell_length_c 3.6350
_cell_angle_alpha 90.00
_cell_angle_beta 90.00
_cell_angle_gamma 90.00
_space_group_name_H-M_alt 'P 4/m b m'
_space_group_IT_number 127
_space_group_name_Hall '-P 4 2ab'
loop_
_atom_site_label
_atom_site_fract_x
_atom_site_fract_y
_atom_site_fract_z
Tb1 0.1801 0.3199 0.0000
Zn1 0.1154 0.6154 0.0000
Ni1 0.0000 0.5000 0.5000
Ni2 0.0627 0.7866 0.5000
Sn1 0.0000 0.0000 0.0000
```

Computed properties:
The calculation puts the formation energy at -0.322 eV/atom. The density of states at the Fermi level is 9.92 states/eV/cell.

---

(4)
Computed, not measured: a geometry-optimized Ac5Ir3 structure at the GGA-PBE level of DFT.

Cell and atoms, written as CIF:
```
data_Ac5Ir3
_cell_length_a 8.7794
_cell_length_b 8.7794
_cell_length_c 7.2756
_cell_angle_alpha 90.00
_cell_angle_beta 90.00
_cell_angle_gamma 120.00
_space_group_name_H-M_alt 'P 63/m c m'
_space_group_IT_number 193
_space_group_name_Hall '-P 6c 2'
loop_
_atom_site_label
_atom_site_fract_x
_atom_site_fract_y
_atom_site_fract_z
Ac1 0.0000 0.2565 0.2500
Ac2 0.3333 0.6667 0.0000
Ir1 0.0000 0.3888 0.7500
```

Computed properties:
As for the energy relative to the lowest polymorph listed for this composition: 4.09 kJ/mol of atoms. The calculation puts the formation energy at -0.531 eV/atom. The density of states at the Fermi level is 12.90 states/eV/cell.

---

(5)
Computed, not measured: a geometry-optimized Ac2PuZn3Ge4 structure at the GGA-PBE level of DFT.

Cell and atoms, written as CIF:
```
data_Ac2PuZn3Ge4
_cell_length_a 4.5925
_cell_length_b 4.5925
_cell_length_c 11.0606
_cell_angle_alpha 90.00
_cell_angle_beta 90.00
_cell_angle_gamma 90.00
_space_group_name_H-M_alt 'P -4 m 2'
_space_group_IT_number 115
loop_
_space_group_symop_operation_xyz
'x,y,z'
'y,-x,-z'
'-x,-y,z'
'-y,x,-z'
'-x,y,z'
'-y,-x,-z'
'x,-y,z'
'y,x,-z'
loop_
_atom_site_label
_atom_site_fract_x
_atom_site_fract_y
_atom_site_fract_z
Ac1 0.0000 0.5000 0.2279
Pu1 0.0000 0.0000 0.5000
Zn1 0.0000 0.5000 0.8871
Zn2 0.5000 0.5000 0.5000
Ge1 0.0000 0.0000 0.0000
Ge2 0.0000 0.5000 0.6575
Ge3 0.5000 0.5000 0.0000
```

Computed properties:
The calculation puts the formation energy at -0.417 eV/atom. The density of states at the Fermi level is 12.72 states/eV/cell.

---

(6)
Computed, not measured: a geometry-optimized Sr8Ca2Tl structure at the GGA-PBE level of DFT.

Cell and atoms, written as CIF:
```
data_Sr8Ca2Tl
_cell_length_a 21.9290
_cell_length_b 6.4350
_cell_length_c 7.5706
_cell_angle_alpha 90.00
_cell_angle_beta 91.08
_cell_angle_gamma 90.00
_space_group_name_H-M_alt 'C 1 2/m 1'
_space_group_IT_number 12
loop_
_space_group_symop_operation_xyz
'x,y,z'
'-x,-y,-z'
'-x,y,-z'
'x,-y,z'
'x+1/2,y+1/2,z'
'-x+1/2,-y+1/2,-z'
'-x+1/2,y+1/2,-z'
'x+1/2,-y+1/2,z'
loop_
_atom_site_label
_atom_site_fract_x
_atom_site_fract_y
_atom_site_fract_z
Sr1 0.0392 0.0000 0.2436
Sr2 0.0811 0.5000 0.6120
Sr3 0.1546 0.5000 0.1232
Sr4 0.1597 0.0000 0.8153
Ca1 0.2340 0.0000 0.3458
Tl1 0.0000 0.5000 0.0000
```

Computed properties:
As for the energy relative to the lowest polymorph listed for this composition: 1.21 kJ/mol of atoms. The calculation puts the formation energy at -0.037 eV/atom. The density of states at the Fermi level is 26.85 states/eV/cell.

---

(7)
Computed, not measured: a geometry-optimized HfBiS4 structure at the GGA-PBE level of DFT.

Cell and atoms, written as CIF:
```
data_HfBiS4
_cell_length_a 6.6821
_cell_length_b 3.7429
_cell_length_c 6.7716
_cell_angle_alpha 90.00
_cell_angle_beta 90.05
_cell_angle_gamma 90.00
_space_group_name_H-M_alt 'P 1 2/m 1'
_space_group_IT_number 10
loop_
_space_group_symop_operation_xyz
'x,y,z'
'-x,-y,-z'
'-x,y,-z'
'x,-y,z'
loop_
_atom_site_label
_atom_site_fract_x
_atom_site_fract_y
_atom_site_fract_z
Hf1 0.0000 0.0000 0.0000
Bi1 0.5000 0.5000 0.0000
S1 0.1504 0.5000 0.7854
S2 0.3082 0.0000 0.2256
```

Computed properties:
The energy relative to the elements, uncorrected is -786 meV/atom. The density of states at the Fermi level is 4.09 states/eV/cell.

---

(8)
Computed, not measured: a geometry-optimized Pm5TlZn2 structure at the GGA-PBE level of DFT.

Cell and atoms, written as CIF:
```
data_Pm5TlZn2
_cell_length_a 8.4686
_cell_length_b 8.4686
_cell_length_c 12.7133
_cell_angle_alpha 90.00
_cell_angle_beta 90.00
_cell_angle_gamma 90.00
_space_group_name_H-M_alt 'I 4/m c m'
_space_group_IT_number 140
_space_group_name_Hall '-I 4 2c'
loop_
_atom_site_label
_atom_site_fract_x
_atom_site_fract_y
_atom_site_fract_z
Pm1 0.0000 0.0000 0.0000
Pm2 0.1519 0.3481 0.1449
Tl1 0.0000 0.0000 0.2500
Zn1 0.1436 0.3564 0.5000
```

Computed properties:
The calculation puts the formation energy at -0.245 eV/atom. The density of states at the Fermi level is 36.43 states/eV/cell.

---

(9)
Computed, not measured: a geometry-optimized SiSe2Br structure at the GGA-PBE level of DFT.

Cell and atoms, written as CIF:
```
data_SiSe2Br
_cell_length_a 6.9059
_cell_length_b 6.9059
_cell_length_c 6.9059
_cell_angle_alpha 90.00
_cell_angle_beta 90.00
_cell_angle_gamma 90.00
_space_group_name_H-M_alt 'F m -3 m'
_space_group_IT_number 225
_space_group_name_Hall '-F 4 2 3'
loop_
_atom_site_label
_atom_site_fract_x
_atom_site_fract_y
_atom_site_fract_z
Si1 0.0000 0.0000 0.0000
Se1 0.2500 0.2500 0.2500
Br1 0.0000 0.0000 0.5000
```

Computed properties:
As for the energy relative to the lowest polymorph listed for this composition: 74.82 kJ/mol of atoms. The energy relative to the elements, uncorrected is 662 meV/atom. The density of states at the Fermi level is 16.43 states/eV/cell.

---

(10)
Computed, not measured: a geometry-optimized CeAl6Pd structure at the GGA-PBE level of DFT.

Cell and atoms, written as CIF:
```
data_CeAl6Pd
_cell_length_a 4.3058
_cell_length_b 4.3058
_cell_length_c 8.2934
_cell_angle_alpha 90.00
_cell_angle_beta 90.00
_cell_angle_gamma 90.00
_space_group_name_H-M_alt 'P 4/m m m'
_space_group_IT_number 123
_space_group_name_Hall '-P 4 2'
loop_
_atom_site_label
_atom_site_fract_x
_atom_site_fract_y
_atom_site_fract_z
Ce1 0.0000 0.0000 0.0000
Al1 0.0000 0.5000 0.3312
Al2 0.5000 0.5000 0.1477
Pd1 0.0000 0.0000 0.5000
```

Computed properties:
The calculation puts the formation energy at -0.465 eV/atom. The density of states at the Fermi level is 3.19 states/eV/cell.

---

(11)
Computed, not measured: a geometry-optimized LiCaRh structure at the GGA-PBE level of DFT.

Cell and atoms, written as CIF:
```
data_LiCaRh
_cell_length_a 3.3445
_cell_length_b 3.3445
_cell_length_c 6.7555
_cell_angle_alpha 90.00
_cell_angle_beta 90.00
_cell_angle_gamma 120.00
_space_group_name_H-M_alt 'P 3 m 1'
_space_group_IT_number 156
loop_
_space_group_symop_operation_xyz
'x,y,z'
'-y,x-y,z'
'-x+y,-x,z'
'-y,-x,z'
'-x+y,y,z'
'x,x-y,z'
loop_
_atom_site_label
_atom_site_fract_x
_atom_site_fract_y
_atom_site_fract_z
Li1 0.0000 0.0000 0.0000
Ca1 0.3333 0.6667 0.5431
Rh1 0.6667 0.3333 0.2535
```

Computed properties:
As for the energy relative to the lowest polymorph listed for this composition: 34.22 kJ/mol of atoms. The calculation puts the formation energy at 0.090 eV/atom. The density of states at the Fermi level is 2.75 states/eV/cell.

---

(12)
Computed, not measured: a geometry-optimized PrTmTe2 structure at the GGA-PBE level of DFT.

Cell and atoms, written as CIF:
```
data_PrTmTe2
_cell_length_a 5.3998
_cell_length_b 5.3998
_cell_length_c 3.8425
_cell_angle_alpha 90.00
_cell_angle_beta 90.00
_cell_angle_gamma 90.00
_space_group_name_H-M_alt 'P 4/m m m'
_space_group_IT_number 123
_space_group_name_Hall '-P 4 2'
loop_
_atom_site_label
_atom_site_fract_x
_atom_site_fract_y
_atom_site_fract_z
Pr1 0.0000 0.0000 0.0000
Tm1 0.5000 0.5000 0.0000
Te1 0.0000 0.5000 0.5000
```

Computed properties:
As for the energy relative to the lowest polymorph listed for this composition: 15.08 kJ/mol of atoms. The energy relative to the elements, uncorrected is -1192 meV/atom. The density of states at the Fermi level is 3.95 states/eV/cell.